[1]
A relaxed ScOsW2 crystal, computed with GGA-PBE.

The structure belongs to space group Cmm2 (No. 35); the cell edges are 3.192, 4.579 and 9.020 Å and the angles 90.00°, 90.00° and 90.00°. Symmetry generates all atoms from Sc at (0.000, 0.000, 0.000), Os at (0.000, 0.500, 0.755), W at (0.000, 0.000, 0.517) and W at (0.000, 0.500, 0.272).

The calculation puts the energy above the most stable polymorph in this dataset at 0.201 eV per atom. The crystal system is orthorhombic. The value obtained for the total moment is 0.00 μB per atom. The calculation puts the total energy at -85.92 eV per cell. As for the density of states at the Fermi level: 0.682 states/eV/atom. The formation enthalpy at 0 K is 0.506 eV per formula unit.

[2]
A relaxed ScOs2W crystal, computed with GGA-PBE.

The structure belongs to space group Pmm2 (No. 25); the cell edges are 2.876, 4.310 and 5.285 Å and the angles 90.00°, 90.00° and 90.00°. Symmetry generates all atoms from Sc at (0.000, 0.000, 0.000), Os at (0.000, 0.000, 0.496), Os at (0.500, 0.500, 0.838) and W at (0.500, 0.500, 0.312).

The crystal system is orthorhombic. The value obtained for the total moment is 0.00 μB per atom. The calculation puts the total energy at -41.27 eV per cell. As for the density of states at the Fermi level: 0.639 states/eV/atom. The formation enthalpy at 0 K is 0.471 eV per formula unit.

[3]
A relaxed Sc2OsW crystal, computed with GGA-PBE.

The structure belongs to space group P2/m (No. 10); the cell edges are 2.906, 4.498 and 5.417 Å and the angles 90.00°, 101.77° and 90.00°. Symmetry generates all atoms from Sc at (0.216, 0.000, 0.256), Os at (0.000, 0.500, 0.500) and W at (0.500, 0.500, 0.000).

The calculation puts the energy above the most stable polymorph in this dataset at 0.172 eV per atom. The crystal system is monoclinic. The value obtained for the total moment is 0.00 μB per atom. The calculation puts the total energy at -36.57 eV per cell. As for the density of states at the Fermi level: 0.847 states/eV/atom. The formation enthalpy at 0 K is 0.279 eV per formula unit.

[4]
A relaxed ScOsW2 crystal, computed with GGA-PBE.

The structure belongs to space group Imm2 (No. 44); the cell edges are 3.164, 4.596 and 9.006 Å and the angles 90.00°, 90.00° and 90.00°. Symmetry generates all atoms from Sc at (0.000, 0.000, 0.000), Os at (0.000, 0.500, 0.756), W at (0.000, 0.000, 0.498) and W at (0.000, 0.500, 0.236).

The calculation puts the energy above the most stable polymorph in this dataset at 0.139 eV per atom. The crystal system is orthorhombic. The value obtained for the total moment is 0.00 μB per atom. The calculation puts the total energy at -86.42 eV per cell. As for the density of states at the Fermi level: 0.634 states/eV/atom. The formation enthalpy at 0 K is 0.259 eV per formula unit.

[5]
A relaxed ScOsW2 crystal, computed with GGA-PBE.

The structure belongs to space group I4/mmm (No. 139); the cell edges are 3.805, 3.805 and 9.186 Å and the angles 90.00°, 90.00° and 90.00°. Symmetry generates all atoms from Sc at (0.000, 0.000, 0.000), Os at (0.000, 0.000, 0.500) and W at (0.000, 0.500, 0.250).

The calculation puts the energy above the most stable polymorph in this dataset at 0.264 eV per atom. The crystal system is tetragonal. The value obtained for the total moment is 0.00 μB per atom. The calculation puts the total energy at -85.42 eV per cell. As for the density of states at the Fermi level: 1.011 states/eV/atom. The formation enthalpy at 0 K is 0.758 eV per formula unit.

[6]
A relaxed YSc2Os crystal, computed with GGA-PBE.

The structure belongs to space group Cmcm (No. 63); the cell edges are 3.952, 11.127 and 8.416 Å and the angles 90.00°, 90.00° and 90.00°. Symmetry generates all atoms from Y at (0.000, 0.064, 0.250), Sc at (0.000, 0.350, 0.063) and Os at (0.000, 0.245, 0.750).

The calculation puts the energy above the most stable polymorph in this dataset at 0.000 eV per atom. The crystal system is orthorhombic. The value obtained for the total moment is 0.00 μB per atom. The calculation puts the total energy at -125.91 eV per cell. As for the density of states at the Fermi level: 1.273 states/eV/atom. The formation enthalpy at 0 K is -1.121 eV per formula unit.

[7]
A relaxed YSc2Os crystal, computed with GGA-PBE.

The structure belongs to space group P4/mmm (No. 123); the cell edges are 3.258, 3.258 and 8.556 Å and the angles 90.00°, 90.00° and 90.00°. Symmetry generates all atoms from Y at (0.000, 0.000, 0.000), Sc at (0.500, 0.500, 0.321) and Os at (0.000, 0.000, 0.500).

The calculation puts the energy above the most stable polymorph in this dataset at 0.036 eV per atom. The crystal system is tetragonal. The value obtained for the total moment is 0.00 μB per atom. The calculation puts the total energy at -31.33 eV per cell. As for the density of states at the Fermi level: 0.862 states/eV/atom. The formation enthalpy at 0 K is -0.976 eV per formula unit.

[8]
A relaxed YScOs2 crystal, computed with GGA-PBE.

The structure belongs to space group Pmm2 (No. 25); the cell edges are 3.011, 4.341 and 5.749 Å and the angles 90.00°, 90.00° and 90.00°. Symmetry generates all atoms from Y at (0.000, 0.000, 0.000), Sc at (0.500, 0.500, 0.668), Os at (0.000, 0.000, 0.482) and Os at (0.500, 0.500, 0.224).

The crystal system is orthorhombic. The value obtained for the total moment is 0.00 μB per atom. The calculation puts the total energy at -34.41 eV per cell. As for the density of states at the Fermi level: 1.097 states/eV/atom. The formation enthalpy at 0 K is 0.843 eV per formula unit.

[9]
A relaxed YScOs2 crystal, computed with GGA-PBE.

The structure belongs to space group Cmmm (No. 65); the cell edges are 3.347, 4.957 and 8.719 Å and the angles 90.00°, 90.00° and 90.00°. Symmetry generates all atoms from Y at (0.000, 0.000, 0.000), Sc at (0.000, 0.000, 0.500) and Os at (0.000, 0.500, 0.261).

The crystal system is orthorhombic. The value obtained for the total moment is 0.00 μB per atom. The calculation puts the total energy at -69.54 eV per cell. As for the density of states at the Fermi level: 0.901 states/eV/atom. The formation enthalpy at 0 K is 0.487 eV per formula unit.

[10]
A relaxed YScOs2 crystal, computed with GGA-PBE.

The structure belongs to space group R3m (No. 160, hexagonal axes); the cell edges are 2.9931, 2.9931 and 29.5882 Å and the angles 90.00°, 90.00° and 120.00°. Symmetry generates all atoms from Y at (0.0000, 0.0000, 0.0000), Sc at (0.0000, 0.0000, 0.2298), Os at (0.0000, 0.0000, 0.4871) and Os at (0.0000, 0.0000, 0.7529).

The crystal system is trigonal. The value obtained for the total moment is 0.00 μB per atom. The calculation puts the total energy at -100.43 eV per cell. As for the density of states at the Fermi level: 0.987 states/eV/atom. The formation enthalpy at 0 K is 1.778 eV per formula unit.

[11]
A relaxed YSc2Os crystal, computed with GGA-PBE.

The structure belongs to space group C2/m (No. 12); the cell edges are 5.948, 9.930 and 3.140 Å and the angles 90.00°, 115.68° and 90.00°. Symmetry generates all atoms from Y at (0.000, 0.000, 0.000), Sc at (0.250, 0.250, 0.500) and Os at (0.000, 0.500, 0.000).

The calculation puts the energy above the most stable polymorph in this dataset at 0.436 eV per atom. The crystal system is monoclinic. The value obtained for the total moment is 0.00 μB per atom. The calculation puts the total energy at -59.47 eV per cell. As for the density of states at the Fermi level: 1.196 states/eV/atom. The formation enthalpy at 0 K is 0.624 eV per formula unit.

[12]
A relaxed YSc2Os crystal, computed with GGA-PBE.

The structure belongs to space group Immm (No. 71); the cell edges are 3.406, 5.060 and 10.392 Å and the angles 90.00°, 90.00° and 90.00°. Symmetry generates all atoms from Y at (0.000, 0.000, 0.000), Sc at (0.000, 0.500, 0.201) and Os at (0.000, 0.000, 0.500).

The calculation puts the energy above the most stable polymorph in this dataset at 0.043 eV per atom. The crystal system is orthorhombic. The value obtained for the total moment is 0.00 μB per atom. The calculation puts the total energy at -62.61 eV per cell. As for the density of states at the Fermi level: 0.954 states/eV/atom. The formation enthalpy at 0 K is -0.948 eV per formula unit.

[13]
A relaxed YSc3Os crystal, computed with GGA-PBE.

The structure belongs to space group Pm-3m (No. 221); the cell edges are 4.845, 4.845 and 4.845 Å and the angles 90.00°, 90.00° and 90.00°. Symmetry generates all atoms from Y at (0.000, 0.000, 0.000), Sc at (0.000, 0.000, 0.500) and Os at (0.500, 0.500, 0.500).

The calculation puts the energy above the most stable polymorph in this dataset at 1.710 eV per atom. The crystal system is cubic. The value obtained for the total moment is 0.00 μB per atom. The calculation puts the total energy at -28.44 eV per cell. As for the density of states at the Fermi level: 1.381 states/eV/atom. The formation enthalpy at 0 K is 8.246 eV per formula unit.

[14]
A relaxed YScOs2 crystal, computed with GGA-PBE.

The structure belongs to space group R-3m (No. 166, hexagonal axes); the cell edges are 3.1371, 3.1371 and 25.9756 Å and the angles 90.00°, 90.00° and 120.00°. Symmetry generates all atoms from Y at (0.0000, 0.0000, 0.0000), Sc at (0.0000, 0.0000, 0.5000) and Os at (0.0000, 0.0000, 0.2463).

The crystal system is trigonal. The value obtained for the total moment is 0.00 μB per atom. The calculation puts the total energy at -103.20 eV per cell. As for the density of states at the Fermi level: 1.026 states/eV/atom. The formation enthalpy at 0 K is 0.854 eV per formula unit.

[15]
A relaxed YScOs2 crystal, computed with GGA-PBE.

The structure belongs to space group Pmmm (No. 47); the cell edges are 3.352, 4.377 and 4.954 Å and the angles 90.00°, 90.00° and 90.00°. Symmetry generates all atoms from Y at (0.000, 0.000, 0.000), Sc at (0.500, 0.000, 0.500), Os at (0.000, 0.500, 0.500) and Os at (0.500, 0.500, 0.000).

The crystal system is orthorhombic. The value obtained for the total moment is 0.00 μB per atom. The calculation puts the total energy at -34.72 eV per cell. As for the density of states at the Fermi level: 0.768 states/eV/atom. The formation enthalpy at 0 K is 0.534 eV per formula unit.

[16]
A relaxed Y2Sc2Os crystal, computed with GGA-PBE.

The structure belongs to space group P4/mbm (No. 127); the cell edges are 6.786, 6.786 and 5.412 Å and the angles 90.00°, 90.00° and 90.00°. Symmetry generates all atoms from Y at (0.176, 0.324, 0.000), Sc at (0.156, 0.656, 0.500) and Os at (0.000, 0.000, 0.500).

The crystal system is tetragonal. The value obtained for the total moment is 0.00 μB per atom. The calculation puts the total energy at -73.45 eV per cell. As for the density of states at the Fermi level: 1.849 states/eV/atom. The formation enthalpy at 0 K is 0.098 eV per formula unit.

[17]
A relaxed YScOs crystal, computed with GGA-PBE.

The structure belongs to space group F-43m (No. 216); the cell edges are 6.548, 6.548 and 6.548 Å and the angles 90.00°, 90.00° and 90.00°. Symmetry generates all atoms from Y at (0.000, 0.000, 0.000), Sc at (0.250, 0.250, 0.750) and Os at (0.250, 0.250, 0.250).

The calculation puts the energy above the most stable polymorph in this dataset at 1.148 eV per atom. The crystal system is cubic. The value obtained for the total moment is 0.00 μB per atom. The calculation puts the total energy at -86.36 eV per cell. As for the density of states at the Fermi level: 0.944 states/eV/atom. The formation enthalpy at 0 K is 2.436 eV per formula unit.

[18]
A relaxed YScOs2 crystal, computed with GGA-PBE.

The structure belongs to space group C2/m (No. 12); the cell edges are 5.957, 8.795 and 2.983 Å and the angles 90.00°, 112.07° and 90.00°. Symmetry generates all atoms from Y at (0.000, 0.000, 0.000), Sc at (0.000, 0.500, 0.000) and Os at (0.250, 0.250, 0.500).

The crystal system is monoclinic. The value obtained for the total moment is 0.00 μB per atom. The calculation puts the total energy at -69.41 eV per cell. As for the density of states at the Fermi level: 0.820 states/eV/atom. The formation enthalpy at 0 K is 0.551 eV per formula unit.

[19]
A relaxed YSc2Os crystal, computed with GGA-PBE.

The structure belongs to space group P4mm (No. 99); the cell edges are 3.349, 3.349 and 8.178 Å and the angles 90.00°, 90.00° and 90.00°. Symmetry generates all atoms from Y at (0.000, 0.000, 0.000), Sc at (0.000, 0.000, 0.611), Sc at (0.500, 0.500, 0.331) and Os at (0.500, 0.500, 0.786).

The calculation puts the energy above the most stable polymorph in this dataset at 0.148 eV per atom. The crystal system is tetragonal. The value obtained for the total moment is 0.29 μB per atom. The calculation puts the total energy at -30.89 eV per cell. As for the density of states at the Fermi level: 0.928 states/eV/atom. The formation enthalpy at 0 K is -0.530 eV per formula unit.

[20]
A relaxed YScOs crystal, computed with GGA-PBE.

The structure belongs to space group F-43m (No. 216); the cell edges are 6.576, 6.576 and 6.576 Å and the angles 90.00°, 90.00° and 90.00°. Symmetry generates all atoms from Y at (0.000, 0.000, 0.000), Sc at (0.000, 0.000, 0.500) and Os at (0.250, 0.250, 0.250).

The calculation puts the energy above the most stable polymorph in this dataset at 0.155 eV per atom. The crystal system is cubic. The value obtained for the total moment is 0.00 μB per atom. The calculation puts the total energy at -98.27 eV per cell. As for the density of states at the Fermi level: 0.352 states/eV/atom. The formation enthalpy at 0 K is -0.542 eV per formula unit.